Entry 1:
This record from Alexandria via LeMat-Bulk describes a relaxed HIrCl2 crystal. The functional is PBE.

Lattice parameters (Å, degrees): 3.0245 3.0245 21.1367 90.00 90.00 120.00
Space group R-3m (No. 166, hexagonal axes)
Unique sites:
H (0.0000, 0.0000, 0.0000) [3 per cell]
Ir (0.0000, 0.0000, 0.5000) [3 per cell]
Cl (0.0000, 0.0000, 0.3936) [6 per cell]

Summary:
The calculation puts the calculated total energy at -3.431 eV per atom. The calculation puts the density of states at the Fermi level at 0.6429 states/eV per atom. The value obtained for the distance to the lowest polymorph of the same formula is 0.000 eV/atom.

Entry 2:
This record from Alexandria via LeMat-Bulk describes a relaxed H2IrCl6 crystal. The functional is PBE.

Lattice parameters (Å, degrees): 14.203 12.012 6.090 90.00 95.87 90.00
Space group C2/c (No. 15)
Unique sites:
H (0.130, 0.024, 0.281) [8 per cell]
Ir (0.000, 0.424, 0.750) [4 per cell]
Cl (0.090, 0.431, 0.099) [8 per cell]
Cl (0.099, 0.295, 0.627) [8 per cell]
Cl (0.133, 0.087, 0.109) [8 per cell]

Summary:
The calculation puts the calculated total energy at -3.400 eV per atom. The calculation puts the density of states at the Fermi level at 0.5112 states/eV per atom.